Here is a relaxed Cd2CoPbF8 crystal from Alexandria via LeMat-Bulk. Energies are from PBE+U.

Cell lengths 4.640, 7.294, 5.381 Å; angles 90.00, 90.15, 90.00 degrees
Space group P2/m (No. 10)
Unique sites:
Cd 0.000 0.236 0.000
Co 0.500 0.000 0.500
Pb 0.500 0.500 0.500
F 0.081 0.500 0.769
F 0.159 0.000 0.753
F 0.368 0.216 0.271

## Properties
Mass density   5.9 g/cm³
Total DFT energy (no corrections)   -4.327 eV/atom
Density of states at the Fermi level   0.00 states/eV per cell